No. 1
# CsFeOF2 (GGA-PBEsol, optimized geometry)
data_CsFeOF2
_symmetry_space_group_name_H-M 'P 1'
_symmetry_Int_Tables_number 1
_symmetry_space_group_name_Hall 'P 1'
_cell_length_a 3.736
_cell_length_b 4.373
_cell_length_c 4.373
_cell_angle_alpha 90.00
_cell_angle_beta 90.00
_cell_angle_gamma 90.00
loop_
_atom_site_label
_atom_site_type_symbol
_atom_site_fract_x
_atom_site_fract_y
_atom_site_fract_z
_atom_site_occupancy
Cs1 Cs 0.500 0.500 0.500 1
O1 O 0.500 0.000 0.000 1
F1 F 0.000 0.000 0.500 1
F2 F 0.000 0.500 0.000 1
Fe1 Fe 0.000 0.000 0.000 1
# Raw total energy ... -28.549 eV for the cell shown
# Density ... 5.64 g/cm³
# Crystal system ... tetragonal
# D(E_F) ... 0.43 states/eV/atom
# Total magnetization ... 4.44 μB/f.u.
# Space group ... No. 123



No. 2
# Cs3GaF (GGA-PBEsol, optimized geometry)
data_Cs3GaF
_symmetry_space_group_name_H-M 'P 1'
_symmetry_Int_Tables_number 1
_symmetry_space_group_name_Hall 'P 1'
_cell_length_a 5.870
_cell_length_b 5.870
_cell_length_c 5.870
_cell_angle_alpha 90.00
_cell_angle_beta 90.00
_cell_angle_gamma 90.00
loop_
_atom_site_label
_atom_site_type_symbol
_atom_site_fract_x
_atom_site_fract_y
_atom_site_fract_z
_atom_site_occupancy
Cs1 Cs 0.000 0.000 0.500 1
Cs2 Cs 0.500 0.000 0.000 1
Cs3 Cs 0.000 0.500 0.000 1
Ga1 Ga 0.500 0.500 0.500 1
F1 F 0.000 0.000 0.000 1
# Raw total energy ... -12.646 eV for the cell shown
# Density ... 4.00 g/cm³
# Crystal system ... cubic
# D(E_F) ... 0.95 states/eV/atom
# Total magnetization ... 2.23 μB/f.u.
# Space group ... No. 221



No. 3
# Cs2InGaF6 (GGA-PBEsol, optimized geometry)
data_Cs2InGaF6
_symmetry_space_group_name_H-M 'P 1'
_symmetry_Int_Tables_number 1
_symmetry_space_group_name_Hall 'P 1'
_cell_length_a 6.458
_cell_length_b 6.458
_cell_length_c 6.458
_cell_angle_alpha 60.00
_cell_angle_beta 60.00
_cell_angle_gamma 60.00
loop_
_atom_site_label
_atom_site_type_symbol
_atom_site_fract_x
_atom_site_fract_y
_atom_site_fract_z
_atom_site_occupancy
F1 F 0.730 0.270 0.270 1
F2 F 0.730 0.730 0.270 1
F3 F 0.270 0.730 0.730 1
F4 F 0.270 0.730 0.270 1
F5 F 0.730 0.270 0.730 1
F6 F 0.270 0.270 0.730 1
Ga1 Ga 0.000 0.000 0.000 1
In1 In 0.500 0.500 0.500 1
Cs1 Cs 0.750 0.750 0.750 1
Cs2 Cs 0.250 0.250 0.250 1
# Raw total energy ... -44.687 eV for the cell shown
# Density ... 4.92 g/cm³
# Crystal system ... cubic
# D(E_F) ... 0.00 states/eV/atom
# Total magnetization ... 0.00 μB/f.u.
# Space group ... No. 225



No. 4
# Cs2KGaF6 (GGA-PBEsol, optimized geometry)
data_Cs2KGaF6
_symmetry_space_group_name_H-M 'P 1'
_symmetry_Int_Tables_number 1
_symmetry_space_group_name_Hall 'P 1'
_cell_length_a 6.324
_cell_length_b 6.324
_cell_length_c 6.324
_cell_angle_alpha 60.00
_cell_angle_beta 60.00
_cell_angle_gamma 60.00
loop_
_atom_site_label
_atom_site_type_symbol
_atom_site_fract_x
_atom_site_fract_y
_atom_site_fract_z
_atom_site_occupancy
F1 F 0.786 0.786 0.214 1
F2 F 0.786 0.214 0.786 1
F3 F 0.786 0.214 0.214 1
F4 F 0.214 0.786 0.214 1
F5 F 0.214 0.786 0.786 1
F6 F 0.214 0.214 0.786 1
Cs1 Cs 0.250 0.250 0.250 1
Cs2 Cs 0.750 0.750 0.750 1
Ga1 Ga 0.000 0.000 0.000 1
K1 K 0.500 0.500 0.500 1
# Raw total energy ... -46.498 eV for the cell shown
# Density ... 4.54 g/cm³
# Crystal system ... cubic
# D(E_F) ... 0.00 states/eV/atom
# Total magnetization ... 0.02 μB/f.u.
# Space group ... No. 225



No. 5
# Cs2LiGaF6 (GGA-PBEsol, optimized geometry)
data_Cs2LiGaF6
_symmetry_space_group_name_H-M 'P 1'
_symmetry_Int_Tables_number 1
_symmetry_space_group_name_Hall 'P 1'
_cell_length_a 5.057
_cell_length_b 6.176
_cell_length_c 6.176
_cell_angle_alpha 120.00
_cell_angle_beta 90.00
_cell_angle_gamma 90.00
loop_
_atom_site_label
_atom_site_type_symbol
_atom_site_fract_x
_atom_site_fract_y
_atom_site_fract_z
_atom_site_occupancy
Ga1 Ga 0.000 0.000 0.000 1
F1 F 0.768 0.141 0.282 1
F2 F 0.232 0.859 0.718 1
F3 F 0.768 0.718 0.859 1
F4 F 0.232 0.859 0.141 1
F5 F 0.768 0.141 0.859 1
F6 F 0.232 0.282 0.141 1
Li1 Li 0.500 0.000 0.000 1
Cs1 Cs 0.270 0.333 0.667 1
Cs2 Cs 0.730 0.667 0.333 1
# Raw total energy ... -47.332 eV for the cell shown
# Density ... 4.54 g/cm³
# Crystal system ... trigonal
# D(E_F) ... 0.00 states/eV/atom
# Total magnetization ... 0.04 μB/f.u.
# Space group ... No. 164



No. 6
# CsMgGaF6 (GGA-PBEsol, optimized geometry)
data_CsMgGaF6
_symmetry_space_group_name_H-M 'P 1'
_symmetry_Int_Tables_number 1
_symmetry_space_group_name_Hall 'P 1'
_cell_length_a 7.217
_cell_length_b 7.253
_cell_length_c 7.253
_cell_angle_alpha 60.42
_cell_angle_beta 60.16
_cell_angle_gamma 60.16
loop_
_atom_site_label
_atom_site_type_symbol
_atom_site_fract_x
_atom_site_fract_y
_atom_site_fract_z
_atom_site_occupancy
Cs1 Cs 0.616 0.634 0.134 1
Cs2 Cs 0.384 0.366 0.866 1
F1 F 0.322 0.928 0.428 1
F2 F 0.691 0.674 0.570 1
F3 F 0.309 0.930 0.826 1
F4 F 0.065 0.674 0.570 1
F5 F 0.678 0.072 0.572 1
F6 F 0.935 0.315 0.815 1
F7 F 0.065 0.685 0.185 1
F8 F 0.691 0.070 0.174 1
F9 F 0.935 0.930 0.826 1
F10 F 0.935 0.326 0.430 1
F11 F 0.309 0.326 0.430 1
F12 F 0.065 0.070 0.174 1
Ga1 Ga 0.000 0.500 0.500 1
Ga2 Ga 0.000 0.000 0.000 1
Mg1 Mg 0.500 0.000 0.500 1
Mg2 Mg 0.000 0.000 0.500 1
# Raw total energy ... -90.352 eV for the cell shown
# Density ... 4.19 g/cm³
# Crystal system ... orthorhombic
# D(E_F) ... 0.00 states/eV/atom
# Total magnetization ... 0.07 μB/f.u.
# Space group ... No. 74



no.,raw formation energy (eV per atom)
1,-1.9077
2,-0.9103
3,-2.4915
4,-2.8575
5,-2.8576
6,-3.0680